(1)
## K2HgAu (SCAN)

Data for a PBEsol-optimized structure of K2HgAu.

Calculated formation energy = -0.351 eV per atom
Density of states at the Fermi level = 0.425 states/eV/atom
Calculated density = 6.26 g/cm³
Spin magnetization = 0.00 μB per cell

a = 6.603 Å, b = 6.603 Å, c = 6.603 Å
α = 143.37°, β = 132.02°, γ = 61.84°
Fractional positions:
K1 0.000 0.000 0.000
K2 0.702 0.202 0.500
Hg1 0.424 0.424 0.000
Au1 0.255 0.755 0.500

(2)
## K2HgAu (SCAN)

Data for a PBEsol-optimized structure of K2HgAu.

Calculated formation energy = -0.357 eV per atom
Density of states at the Fermi level = 0.297 states/eV/atom
Calculated density = 6.37 g/cm³
Spin magnetization = 0.00 μB per cell

a = 3.933 Å, b = 3.933 Å, c = 8.018 Å
α = 90.00°, β = 90.00°, γ = 90.00°
Fractional positions:
K1 0.000 0.000 0.228
K2 0.000 0.000 0.772
Hg1 0.500 0.500 0.500
Au1 0.500 0.500 0.000

(3)
## K2HgAu (SCAN)

Data for a PBEsol-optimized structure of K2HgAu.

Calculated formation energy = -0.238 eV per atom
Density of states at the Fermi level = 0.352 states/eV/atom
Calculated density = 5.64 g/cm³
Spin magnetization = 0.01 μB per cell

a = 3.836 Å, b = 3.836 Å, c = 9.514 Å
α = 90.00°, β = 90.00°, γ = 90.00°
Fractional positions:
K1 0.000 0.000 0.000
K2 0.500 0.500 0.428
Hg1 0.000 0.000 0.658
Au1 0.500 0.500 0.774

(4)
## K2HgAu (SCAN)

Data for a PBEsol-optimized structure of K2HgAu.

Calculated formation energy = -0.396 eV per atom
Density of states at the Fermi level = 0.372 states/eV/atom
Calculated density = 5.88 g/cm³
Spin magnetization = 0.00 μB per cell

a = 4.787 Å, b = 6.435 Å, c = 6.435 Å
α = 42.66°, β = 90.00°, γ = 90.00°
Fractional positions:
K1 0.000 0.000 0.000
K2 0.500 0.291 0.291
Hg1 0.500 0.584 0.584
Au1 0.000 0.708 0.708

(5)
## KHgAu4 (SCAN)

Data for a PBEsol-optimized structure of KHgAu4.

Calculated formation energy = -0.232 eV per atom
Density of states at the Fermi level = 0.145 states/eV/atom
Calculated density = 14.04 g/cm³
Spin magnetization = 0.00 μB per cell

a = 5.559 Å, b = 5.559 Å, c = 5.559 Å
α = 60.00°, β = 60.00°, γ = 60.00°
Fractional positions:
K1 0.000 0.000 0.000
Hg1 0.750 0.750 0.750
Au1 0.375 0.375 0.375
Au2 0.375 0.375 0.874
Au3 0.375 0.874 0.375
Au4 0.874 0.375 0.375

(6)
## K2HgAu (SCAN)

Data for a PBEsol-optimized structure of K2HgAu.

Calculated formation energy = -0.254 eV per atom
Density of states at the Fermi level = 0.429 states/eV/atom
Calculated density = 7.11 g/cm³
Spin magnetization = 0.00 μB per cell

a = 5.396 Å, b = 5.396 Å, c = 5.396 Å
α = 60.00°, β = 60.00°, γ = 60.00°
Fractional positions:
K1 0.000 0.000 0.000
K2 0.250 0.250 0.250
Hg1 0.500 0.500 0.500
Au1 0.750 0.750 0.750

(7)
## KHgAuSe2 (SCAN)

Data for a PBEsol-optimized structure of KHgAuSe2.

Density of states at the Fermi level = 0.544 states/eV/atom
Calculated density = 6.83 g/cm³
Spin magnetization = 0.00 μB per cell
E = -186.06 eV/cell

a = 5.288 Å, b = 5.288 Å, c = 5.173 Å
α = 90.00°, β = 90.00°, γ = 90.00°
Fractional positions:
K1 0.000 0.000 0.000
Hg1 0.500 0.500 0.500
Au1 0.500 0.500 0.000
Se1 0.000 0.500 0.500
Se2 0.500 0.000 0.500

(8)
## La2HgAu (SCAN)

Data for a PBEsol-optimized structure of La2HgAu.

Calculated formation energy = -0.524 eV per atom
Density of states at the Fermi level = 1.007 states/eV/atom
Calculated density = 11.80 g/cm³
Spin magnetization = 0.00 μB per cell

a = 5.122 Å, b = 5.122 Å, c = 5.122 Å
α = 60.00°, β = 60.00°, γ = 60.00°
Fractional positions:
La1 0.000 0.000 0.000
La2 0.250 0.250 0.250
Hg1 0.750 0.750 0.750
Au1 0.500 0.500 0.500

(9)
## La2HgAu2 (SCAN)

Data for a PBEsol-optimized structure of La2HgAu2.

Calculated formation energy = -0.746 eV per atom
Density of states at the Fermi level = 0.525 states/eV/atom
Calculated density = 10.34 g/cm³
Spin magnetization = 0.00 μB per cell

a = 5.941 Å, b = 5.941 Å, c = 5.941 Å
α = 123.34°, β = 123.34°, γ = 84.30°
Fractional positions:
La1 0.250 0.750 0.500
La2 0.750 0.250 0.500
Hg1 0.000 0.000 0.000
Au1 0.355 0.355 0.000
Au2 0.645 0.645 0.000

(10)
## LaHgAu (SCAN)

Data for a PBEsol-optimized structure of LaHgAu.

Calculated formation energy = -0.788 eV per atom
Density of states at the Fermi level = 0.314 states/eV/atom
Calculated density = 12.25 g/cm³
Spin magnetization = 0.00 μB per cell

a = 5.556 Å, b = 5.556 Å, c = 5.556 Å
α = 139.13°, β = 139.13°, γ = 59.18°
Fractional positions:
La1 0.000 0.000 0.000
Hg1 0.678 0.678 0.000
Au1 0.336 0.336 0.000

(11)
## LaHgAu (SCAN)

Data for a PBEsol-optimized structure of LaHgAu.

Calculated formation energy = -0.864 eV per atom
Density of states at the Fermi level = 0.488 states/eV/atom
Calculated density = 12.47 g/cm³
Spin magnetization = 0.00 μB per cell

a = 4.854 Å, b = 4.854 Å, c = 3.500 Å
α = 90.00°, β = 90.00°, γ = 120.00°
Fractional positions:
La1 0.000 0.000 0.000
Hg1 0.667 0.333 0.500
Au1 0.333 0.667 0.500

(12)
## La2HgAu (SCAN)

Data for a PBEsol-optimized structure of La2HgAu.

Calculated formation energy = -0.847 eV per atom
Density of states at the Fermi level = 0.526 states/eV/atom
Calculated density = 10.77 g/cm³
Spin magnetization = 0.00 μB per cell

a = 3.733 Å, b = 5.022 Å, c = 5.556 Å
α = 90.00°, β = 90.00°, γ = 90.00°
Fractional positions:
La1 0.000 0.000 0.000
La2 0.000 0.500 0.414
Hg1 0.500 0.500 0.886
Au1 0.500 0.000 0.529